Entry 1:
# LiCrSb2 | Alexandria via LeMat-Bulk | GGA-PBEsol | relaxed
data_LiCrSb2
_chemical_formula_sum 'Li1 Cr1 Sb2'
_space_group_name_H-M_alt 'P 1'
_space_group_IT_number 1
_space_group_name_Hall 'P 1'
_cell_length_a 5.654
_cell_length_b 5.654
_cell_length_c 5.654
_cell_angle_alpha 138.77
_cell_angle_beta 138.77
_cell_angle_gamma 59.73
loop_
_atom_site_label
_atom_site_type_symbol
_atom_site_fract_x
_atom_site_fract_y
_atom_site_fract_z
Li1 Li 0.000 0.000 0.000
Cr1 Cr 0.250 0.750 0.500
Sb1 Sb 0.500 0.500 0.000
Sb2 Sb 0.750 0.250 0.500
# Crystal system = tetragonal



Entry 2:
# LiCrSb2 | Alexandria via LeMat-Bulk | GGA-PBEsol | relaxed
data_LiCrSb2
_chemical_formula_sum 'Li1 Cr1 Sb2'
_space_group_name_H-M_alt 'P 1'
_space_group_IT_number 1
_space_group_name_Hall 'P 1'
_cell_length_a 3.748
_cell_length_b 3.748
_cell_length_c 5.510
_cell_angle_alpha 90.00
_cell_angle_beta 90.00
_cell_angle_gamma 90.00
loop_
_atom_site_label
_atom_site_type_symbol
_atom_site_fract_x
_atom_site_fract_y
_atom_site_fract_z
Li1 Li 0.000 0.000 0.000
Cr1 Cr 0.500 0.500 0.667
Sb1 Sb 0.000 0.000 0.523
Sb2 Sb 0.500 0.500 0.161
# Crystal system = tetragonal



Entry 3:
# LiCrSb2 | Alexandria via LeMat-Bulk | GGA-PBEsol | relaxed
data_LiCrSb2
_chemical_formula_sum 'Li1 Cr1 Sb2'
_space_group_name_H-M_alt 'P 1'
_space_group_IT_number 1
_space_group_name_Hall 'P 1'
_cell_length_a 4.965
_cell_length_b 4.965
_cell_length_c 4.965
_cell_angle_alpha 125.04
_cell_angle_beta 125.04
_cell_angle_gamma 81.47
loop_
_atom_site_label
_atom_site_type_symbol
_atom_site_fract_x
_atom_site_fract_y
_atom_site_fract_z
Li1 Li 0.000 0.000 0.000
Cr1 Cr 0.500 0.500 0.000
Sb1 Sb 0.250 0.750 0.500
Sb2 Sb 0.750 0.250 0.500
# Crystal system = tetragonal



Entry 4:
# LiCrSb2 | Alexandria via LeMat-Bulk | GGA-PBEsol | relaxed
data_LiCrSb2
_chemical_formula_sum 'Li1 Cr1 Sb2'
_space_group_name_H-M_alt 'P 1'
_space_group_IT_number 1
_space_group_name_Hall 'P 1'
_cell_length_a 4.129
_cell_length_b 5.292
_cell_length_c 5.292
_cell_angle_alpha 41.13
_cell_angle_beta 90.00
_cell_angle_gamma 90.00
loop_
_atom_site_label
_atom_site_type_symbol
_atom_site_fract_x
_atom_site_fract_y
_atom_site_fract_z
Li1 Li 0.000 0.000 0.000
Cr1 Cr 0.500 0.177 0.177
Sb1 Sb 0.000 0.723 0.723
Sb2 Sb 0.500 0.461 0.461
# Crystal system = orthorhombic



Values of density of states at the Fermi level, in order: 0.41; 0.58; 0.50; 0.54, all in states/eV/atom.
Values of DFT total energy, in order: -5.2847; -5.2627; -5.3145; -5.3066, all in eV per atom.